Run one
Sr2Zr2Os: relaxed, GGA-PBE.

Cell: 3.8330 3.8330 10.8530 Å, 79.83 79.83 90.00°
Each line ends with the local moment (μB).
Sites, in units of the cell vectors:
Sr 0.5848 0.5848 0.8305  0.00
Os 0.0000 0.0000 0.0000  0.72
Zr 0.7500 0.2500 0.5000  0.01
Sr 0.4152 0.4152 0.1695  0.00
Zr 0.2500 0.7500 0.5000  0.01

Summary:
SG = I4/mmm (139)
Magnetization = 0.9 Bohr magnetons per cell
Density of states at the Fermi level = 9.0 states/eV per cell

***

Run two
Sr2Zr2Os: relaxed, GGA-PBE.

Cell: 7.1587 7.1587 5.3266 Å, 90.00 90.00 90.00°
Sites, in units of the cell vectors:
Sr 0.6456 0.1456 0.0000
Sr 0.8544 0.6456 0.0000
Zr 0.3303 0.1697 0.5000
Sr 0.1456 0.3544 0.0000
Os 0.5000 0.5000 0.0000
Zr 0.8303 0.3303 0.5000
Zr 0.6697 0.8303 0.5000
Zr 0.1697 0.6697 0.5000
Sr 0.3544 0.8544 0.0000
Os 0.0000 0.0000 0.0000

Summary:
SG = P4/mbm (127)
Magnetization = 0.0 Bohr magnetons per cell
Density of states at the Fermi level = 12.0 states/eV per cell

***

run one wins, 351 meV per atom ahead of the next structure.

***

Run one
SrZr3Os: relaxed, GGA-PBE.

Cell: 4.9232 4.9232 4.9232 Å, 90.00 90.00 90.00°
Sites, in units of the cell vectors:
Sr 0.0000 0.0000 0.0000
Zr 0.5000 0.0000 0.0000
Zr 0.0000 0.0000 0.5000
Zr 0.0000 0.5000 0.0000
Os 0.5000 0.5000 0.5000

Summary:
SG = Pm-3m (221)
Magnetization = 0.0 Bohr magnetons per cell
Density of states at the Fermi level = 8.2 states/eV per cell

***

Run two
SrZr3Os: relaxed, GGA-PBE.

Cell: 5.1971 5.1971 5.1971 Å, 90.00 90.00 90.00°
Sites, in units of the cell vectors:
Zr 0.5000 0.0000 0.0000
Os 0.0000 0.0000 0.0000
Sr 0.5000 0.5000 0.5000
Zr 0.0000 0.0000 0.5000
Zr 0.0000 0.5000 0.0000

Summary:
SG = Pm-3m (221)
Magnetization = 0.0 Bohr magnetons per cell
Density of states at the Fermi level = 7.2 states/eV per cell

***

run two wins, 2103 meV per atom ahead of the next structure.

***

Run one
Ta4Os: relaxed, GGA-PBE.

Cell: 4.8101 4.8101 4.8101 Å, 90.00 90.00 90.00°
Sites, in units of the cell vectors:
Ta 0.5000 0.5000 0.0000
Ta 0.0000 0.5000 0.5000
Ta 0.5000 0.0000 0.5000
Ta 0.0000 0.0000 0.0000
Os 0.5000 0.5000 0.5000

Summary:
SG = Pm-3m (221)
Magnetization = 0.0 Bohr magnetons per cell
Density of states at the Fermi level = 9.7 states/eV per cell

***

Run two
Ta4Os: relaxed, GGA-PBE.

Cell: 4.6148 5.1229 8.8157 Å, 101.37 99.09 110.93°
Sites, in units of the cell vectors:
Ta 0.8129 0.5407 0.6012
Os 0.1913 0.9413 0.8825
Ta 0.8508 0.2505 0.8541
Ta 0.5033 0.6036 0.8541
Ta 0.7117 0.9395 0.3988
Ta 0.2883 0.0605 0.6012
Ta 0.1871 0.4593 0.3988
Os 0.8087 0.0587 0.1175
Ta 0.4967 0.3964 0.1459
Ta 0.1492 0.7495 0.1459

Summary:
SG = C2/c (15)
Magnetization = 0.0 Bohr magnetons per cell
Density of states at the Fermi level = 8.9 states/eV per cell

***

Run three
Ta4Os: relaxed, GGA-PBE.

Cell: 5.5210 5.5210 7.2816 Å, 112.28 112.28 90.00°
Sites, in units of the cell vectors:
Ta 0.1894 0.2787 0.8404
Ta 0.0991 0.6883 0.6596
Os 0.7500 0.2500 0.5000
Ta 0.4383 0.8106 0.1596
Ta 0.3117 0.4394 0.3404
Os 0.0000 0.0000 0.0000
Ta 0.7213 0.3491 0.1596
Ta 0.5606 0.9713 0.6596
Ta 0.6509 0.5617 0.8404
Ta 0.0287 0.9009 0.3404

Summary:
SG = I4_1/a (88)
Magnetization = 0.0 Bohr magnetons per cell
Density of states at the Fermi level = 9.2 states/eV per cell

***

Run four
Ta4Os: relaxed, GGA-PBE.

Cell: 7.8677 7.8677 7.8677 Å, 153.66 153.66 37.60°
Sites, in units of the cell vectors:
Ta 0.4105 0.4105 0.0000
Ta 0.2500 0.7500 0.5000
Ta 0.7500 0.2500 0.5000
Os 0.0000 0.0000 0.0000
Ta 0.5895 0.5895 0.0000

Summary:
SG = I4/mmm (139)
Magnetization = 0.0 Bohr magnetons per cell
Density of states at the Fermi level = 4.8 states/eV per cell

***

run three wins, 17 meV per atom ahead of the next structure.

***

Run one
Ta2Os3: relaxed, GGA-PBE.

Cell: 11.6969 11.6969 11.6969 Å, 13.79 13.79 13.79°
Sites, in units of the cell vectors:
Os 0.1978 0.1978 0.1978
Ta 0.4000 0.4000 0.4000
Os 0.8022 0.8022 0.8022
Ta 0.6000 0.6000 0.6000
Os 0.0000 0.0000 0.0000

Summary:
SG = R-3m (166)
Magnetization = 0.0 Bohr magnetons per cell
Density of states at the Fermi level = 6.1 states/eV per cell

***

Run two
Ta2Os3: relaxed, GGA-PBE.

Cell: 5.3887 5.3887 7.1300 Å, 80.62 80.62 124.65°
Sites, in units of the cell vectors:
Ta 0.2869 0.3625 0.6058
Os 0.1891 0.8032 0.6935
Os 0.4967 0.8826 0.3065
Os 0.5532 0.4391 0.1935
Os 0.6326 0.7467 0.8065
Ta 0.1125 0.5369 0.1058
Os 0.8091 0.3091 0.5000
Os 0.0591 0.0591 0.0000
Ta 0.9682 0.8926 0.3942
Ta 0.6426 0.2182 0.8942

Summary:
SG = Fdd2 (43)
Magnetization = 0.0 Bohr magnetons per cell
Density of states at the Fermi level = 8.5 states/eV per cell

***

Run three
Ta2Os3: relaxed, GGA-PBE.

Cell: 4.3527 4.3527 5.3766 Å, 90.00 90.00 120.00°
Sites, in units of the cell vectors:
Os 0.0000 0.0000 0.0000
Os 0.6667 0.3333 0.6670
Ta 0.6667 0.3333 0.1836
Os 0.3333 0.6667 0.3330
Ta 0.3333 0.6667 0.8164

Summary:
SG = P-3m1 (164)
Magnetization = 0.0 Bohr magnetons per cell
Density of states at the Fermi level = 4.9 states/eV per cell

***

run two wins, 281 meV per atom ahead of the next structure.

***

Run one
Ta5Os4: relaxed, GGA-PBE.

Cell: 6.3719 6.3719 6.3719 Å, 95.88 95.88 142.66°
Sites, in units of the cell vectors:
Ta 0.6729 0.3271 0.0000
Ta 0.6729 0.6729 0.3457
Os 0.6537 0.0000 0.6537
Ta 0.3271 0.6729 0.0000
Os 0.3463 0.0000 0.3463
Os 0.0000 0.3463 0.3463
Os 0.0000 0.6537 0.6537
Ta 0.0000 0.0000 0.0000
Ta 0.3271 0.3271 0.6543

Summary:
SG = I4/mmm (139)
Magnetization = 0.0 Bohr magnetons per cell
Density of states at the Fermi level = 7.6 states/eV per cell

***

Run two
Ta5Os4: relaxed, GGA-PBE.

Cell: 8.1274 8.1274 5.3298 Å, 90.00 90.00 60.00°
Sites, in units of the cell vectors:
Os 0.0000 0.6020 0.2500
Os 0.3980 0.6020 0.7500
Ta 0.0000 0.7125 0.7500
Ta 0.6667 0.6667 0.5000
Ta 0.2875 0.0000 0.7500
Ta 0.3333 0.3333 0.5000
Ta 0.0000 0.2875 0.2500
Os 0.0000 0.3980 0.7500
Os 0.0000 0.0000 0.5000
Os 0.6020 0.3980 0.2500
Ta 0.2875 0.7125 0.2500
Ta 0.7125 0.0000 0.2500
Ta 0.3333 0.3333 0.0000
Ta 0.7125 0.2875 0.7500
Os 0.6020 0.0000 0.7500
Os 0.0000 0.0000 0.0000
Os 0.3980 0.0000 0.2500
Ta 0.6667 0.6667 0.0000

Summary:
SG = P6_3/mcm (193)
Magnetization = 0.0 Bohr magnetons per cell
Density of states at the Fermi level = 9.4 states/eV per cell

***

run two wins, 30 meV per atom ahead of the next structure.

***

Run one
Ta5Os3: relaxed, GGA-PBE.

Cell: 3.1366 3.1366 13.6188 Å, 90.00 90.00 90.00°
Sites, in units of the cell vectors:
Ta 0.5000 0.5000 0.3791
Os 0.5000 0.5000 0.1302
Ta 0.0000 0.0000 0.7543
Ta 0.0000 0.0000 0.0000
Os 0.0000 0.0000 0.5000
Ta 0.5000 0.5000 0.6209
Ta 0.0000 0.0000 0.2457
Os 0.5000 0.5000 0.8698

Summary:
SG = P4/mmm (123)
Magnetization = 0.0 Bohr magnetons per cell
Density of states at the Fermi level = 5.6 states/eV per cell

***

Run two
Ta5Os3: relaxed, GGA-PBE.

Cell: 5.5623 5.5623 4.5326 Å, 90.00 90.00 70.62°
Sites, in units of the cell vectors:
Os 0.5000 0.5000 0.0000
Ta 0.0000 0.5000 0.0000
Ta 0.7496 0.2504 0.5000
Ta 0.2504 0.7496 0.5000
Os 0.2532 0.2532 0.5000
Ta 0.0000 0.0000 0.0000
Ta 0.5000 0.0000 0.0000
Os 0.7468 0.7468 0.5000

Summary:
SG = Cmmm (65)
Magnetization = 0.0 Bohr magnetons per cell
Density of states at the Fermi level = 3.3 states/eV per cell

***

Run three
Ta5Os3: relaxed, GGA-PBE.

Cell: 5.2130 7.5735 7.5732 Å, 94.77 106.96 73.05°
Sites, in units of the cell vectors:
Os 0.7508 0.0008 0.0011
Ta 0.7573 0.7010 0.1554
Os 0.3625 0.5027 0.1526
Ta 0.0628 0.7044 0.8447
Ta 0.5626 0.1557 0.2960
Ta 0.7504 0.5050 0.5055
Os 0.8626 0.8478 0.4977
Os 0.6384 0.4972 0.8483
Os 0.2508 0.9993 0.9997
Ta 0.4379 0.8442 0.7048
Os 0.1383 0.1521 0.5032
Ta 0.2574 0.8450 0.2994
Ta 0.9377 0.2957 0.1562
Ta 0.7434 0.1550 0.7013
Ta 0.2434 0.2991 0.8454
Ta 0.2504 0.4950 0.4954

Summary:
SG = C2/c (15)
Magnetization = 0.0 Bohr magnetons per cell
Density of states at the Fermi level = 13.3 states/eV per cell

***

Run four
Ta5Os3: relaxed, GGA-PBE.

Cell: 7.7728 7.7728 5.2731 Å, 90.00 90.00 60.00°
Sites, in units of the cell vectors:
Ta 0.0000 0.2392 0.7500
Ta 0.0000 0.7608 0.2500
Os 0.4000 0.6000 0.2500
Ta 0.3333 0.3333 0.5000
Os 0.6000 0.0000 0.2500
Ta 0.7608 0.2392 0.2500
Ta 0.7608 0.0000 0.7500
Ta 0.3333 0.3333 0.0000
Os 0.6000 0.4000 0.7500
Ta 0.2392 0.0000 0.2500
Ta 0.6667 0.6667 0.5000
Os 0.0000 0.6000 0.7500
Ta 0.2392 0.7608 0.7500
Os 0.0000 0.4000 0.2500
Os 0.4000 0.0000 0.7500
Ta 0.6667 0.6667 0.0000

Summary:
SG = P6_3/mcm (193)
Magnetization = 0.0 Bohr magnetons per cell
Density of states at the Fermi level = 10.8 states/eV per cell

***

run two wins, 49 meV per atom ahead of the next structure.

***

Run one
Ta3Os4: relaxed, GGA-PBE.

Cell: 5.1774 5.1774 4.9544 Å, 90.00 90.00 120.00°
Sites, in units of the cell vectors:
Ta 0.5000 0.5000 0.0000
Os 0.6667 0.3333 0.5000
Os 0.3333 0.6667 0.5000
Os 0.0000 0.0000 0.7396
Os 0.0000 0.0000 0.2604
Ta 0.5000 0.0000 0.0000
Ta 0.0000 0.5000 0.0000

Summary:
SG = P6/mmm (191)
Magnetization = 0.0 Bohr magnetons per cell
Density of states at the Fermi level = 11.6 states/eV per cell

***

Run two
Ta3Os4: relaxed, GGA-PBE.

Cell: 11.4629 11.4629 11.4629 Å, 164.08 164.08 22.59°
Sites, in units of the cell vectors:
Ta 0.0000 0.0000 0.0000
Ta 0.2896 0.2896 0.0000
Os 0.4340 0.4340 0.0000
Os 0.1465 0.1465 0.0000
Os 0.8535 0.8535 0.0000
Os 0.5660 0.5660 0.0000
Ta 0.7104 0.7104 0.0000

Summary:
SG = I4/mmm (139)
Magnetization = 0.0 Bohr magnetons per cell
Density of states at the Fermi level = 4.5 states/eV per cell

***

run two wins, 432 meV per atom ahead of the next structure.

***

Run one
Ta4Os3: relaxed, GGA-PBE.

Cell: 11.7047 11.7047 11.7047 Å, 164.37 164.37 22.17°
Sites, in units of the cell vectors:
Os 0.7097 0.7097 0.0000
Ta 0.5699 0.5699 0.0000
Ta 0.1473 0.1473 0.0000
Os 0.0000 0.0000 0.0000
Ta 0.8527 0.8527 0.0000
Os 0.2903 0.2903 0.0000
Ta 0.4301 0.4301 0.0000

Summary:
SG = I4/mmm (139)
Magnetization = 0.0 Bohr magnetons per cell
Density of states at the Fermi level = 4.6 states/eV per cell

***

Run two
Ta4Os3: relaxed, GGA-PBE.

Cell: 5.1867 5.1867 5.0545 Å, 90.00 90.00 120.00°
Sites, in units of the cell vectors:
Ta 0.6667 0.3333 0.5000
Os 0.5000 0.5000 0.0000
Ta 0.0000 0.0000 0.2492
Ta 0.3333 0.6667 0.5000
Ta 0.0000 0.0000 0.7508
Os 0.5000 0.0000 0.0000
Os 0.0000 0.5000 0.0000

Summary:
SG = P6/mmm (191)
Magnetization = 0.0 Bohr magnetons per cell
Density of states at the Fermi level = 10.6 states/eV per cell

***

run two wins, 24 meV per atom ahead of the next structure.

***

Run one
TaTcOs2: relaxed, GGA-PBE.

Cell: 4.4425 4.4425 4.4425 Å, 60.00 60.00 60.00°
Sites, in units of the cell vectors:
Tc 0.0000 0.0000 0.0000
Ta 0.5000 0.5000 0.5000
Os 0.7500 0.7500 0.7500
Os 0.2500 0.2500 0.2500

Summary:
SG = Fm-3m (225)
Magnetization = 0.0 Bohr magnetons per cell
Density of states at the Fermi level = 6.7 states/eV per cell

***

Run two
TaTcOs2: relaxed, GGA-PBE.

Cell: 4.5393 4.5393 3.0010 Å, 90.00 90.00 90.00°
Sites, in units of the cell vectors:
Os 0.5000 0.5000 0.0000
Tc 0.0000 0.5000 0.5000
Ta 0.5000 0.0000 0.5000
Os 0.0000 0.0000 0.0000

Summary:
SG = P4/mmm (123)
Magnetization = 0.0 Bohr magnetons per cell
Density of states at the Fermi level = 5.1 states/eV per cell

***

run two wins, 77 meV per atom ahead of the next structure.